# 1
DFT (PBE) results for NaTa3I after structural relaxation.

Summary:
The energy comes out at -5.1752 eV/atom. For the raw formation energy, the calculation gives 12.551 eV/f.u. The energy above the most stable polymorph in this dataset comes out at 0.3959 eV per atom. The value obtained for the calculated volume is 112.24 Å³/f.u. Its crystal system is cubic.

Unit cell a=4.8237 b=4.8237 c=4.8237 alpha=90.00 beta=90.00 gamma=90.00
Closest atoms and distances in Å follow each position.
Space group Pm-3m (No. 221)
Inequivalent atoms, fractional coordinates:
Na 0.0000 0.0000 0.0000 x1  6 Ta 2.41
Ta 0.0000 0.0000 0.5000 x3  2 Na 2.41
I 0.5000 0.5000 0.5000 x1  12 Ta 3.41



# 2
DFT (PBE) results for VCrOs3 after structural relaxation.

Summary:
The energy comes out at -8.9225 eV/atom. The formation energy is 1.5637 eV per atom. The energy above the most stable polymorph in this dataset comes out at 0.0000 eV per atom. The value obtained for the calculated volume is 86.07 Å³/f.u. Its crystal system is cubic.

Unit cell a=4.4152 b=4.4152 c=4.4152 alpha=90.00 beta=90.00 gamma=90.00
Closest atoms and distances in Å follow each position.
Space group Pm-3m (No. 221)
Inequivalent atoms, fractional coordinates:
V 0.0000 0.0000 0.0000 x1  12 Os 3.12
Cr 0.5000 0.5000 0.5000 x1  6 Os 2.21
Os 0.0000 0.5000 0.5000 x3  2 Cr 2.21



# 3
DFT (PBE) results for Hf3SbW after structural relaxation.

Summary:
The energy comes out at -9.5725 eV/atom. For the raw formation energy, the calculation gives -0.927 eV/f.u. The energy above the most stable polymorph in this dataset comes out at 0.0000 eV per atom. The value obtained for the calculated volume is 108.32 Å³/f.u. Its crystal system is triclinic.

Unit cell a=3.4236 b=7.1292 c=9.0362 alpha=100.81 beta=90.06 gamma=90.01
Closest atoms and distances in Å follow each position.
Space group P-1 (No. 2)
Inequivalent atoms, fractional coordinates:
Hf 0.2492 0.0157 0.2191 x2  2 W 2.83, 3 Sb 2.99, 3 Hf 3.06-3.14
Hf 0.2493 0.5879 0.2243 x2  2 W 2.90, 3 Sb 2.98-3.01, 4 Hf 3.06-3.21
Hf 0.2505 0.6620 0.5822 x2  2 W 2.84, 4 Hf 3.03-3.14, 1 Sb 3.10
Sb 0.2511 0.7306 0.9312 x2  7 Hf 2.98-3.10
W 0.2501 0.1391 0.5854 x2  6 Hf 2.83-2.90, 2 W 2.85



# 4
DFT (PBE) results for Ac3PdAu4 after structural relaxation.

Summary:
The energy comes out at -4.5876 eV/atom. The formation energy is -0.7591 eV per atom. The value obtained for the calculated volume is 232.30 Å³/f.u. Its crystal system is orthorhombic.

Unit cell a=4.5012 b=7.5740 c=13.6278 alpha=90.00 beta=90.00 gamma=90.00
Closest atoms and distances in Å follow each position.
Space group Immm (No. 71)
Inequivalent atoms, fractional coordinates:
Ac 0.0000 0.0000 0.0000 x2  8 Au 3.20
Ac 0.0000 0.5000 0.1646 x4  2 Pd 3.18, 6 Au 3.22-3.26
Pd 0.0000 0.0000 0.5000 x2  4 Au 2.87, 4 Ac 3.18
Au 0.0000 0.3037 0.3741 x8  1 Pd 2.87, 1 Au 2.97, 2 Ac 3.20



# 5
DFT (PBE) results for Ag2SbCl after structural relaxation.

Summary:
The energy comes out at -2.6538 eV/atom. For the raw formation energy, the calculation gives 1.056 eV/f.u. The energy above the most stable polymorph in this dataset comes out at 0.4038 eV per atom. The value obtained for the calculated volume is 87.63 Å³/f.u. Its crystal system is cubic.

Unit cell a=7.0507 b=7.0507 c=7.0507 alpha=90.00 beta=90.00 gamma=90.00
Closest atoms and distances in Å follow each position.
Space group F-43m (No. 216)
Inequivalent atoms, fractional coordinates:
Ag 0.0000 0.0000 0.0000 x4  4 Cl 3.05, 4 Ag 3.05
Ag 0.2500 0.2500 0.2500 x4  4 Sb 3.05, 4 Ag 3.05
Sb 0.0000 0.0000 0.5000 x4  4 Cl 3.05, 4 Ag 3.05
Cl 0.2500 0.2500 0.7500 x4  4 Sb 3.05, 4 Ag 3.05



# 6
DFT (PBE) results for Tb15Nd4Tl after structural relaxation.

Summary:
The energy comes out at -4.5606 eV/atom. The formation energy is -0.0160 eV per atom. The value obtained for the calculated volume is 640.22 Å³/f.u. Its crystal system is tetragonal.

Unit cell a=5.0167 b=5.0167 c=25.4382 alpha=90.00 beta=90.00 gamma=90.00
Closest atoms and distances in Å follow each position.
Space group P4/mmm (No. 123)
Inequivalent atoms, fractional coordinates:
Tb 0.0000 0.0000 0.0000 x1  8 Tb 3.50, 4 Tl 3.55
Tb 0.0000 0.0000 0.1949 x2  4 Nd 3.55, 8 Tb 3.55-3.63
Tb 0.0000 0.0000 0.3984 x2  4 Nd 3.55, 8 Tb 3.58-3.60
Tb 0.0000 0.5000 0.0962 x4  2 Tl 3.50, 8 Tb 3.50-3.55, 2 Nd 3.60
Tb 0.0000 0.5000 0.2981 x4  8 Tb 3.55-3.63, 4 Nd 3.58-3.59
Tb 0.0000 0.5000 0.5000 x2  8 Tb 3.55-3.60, 4 Nd 3.59
Nd 0.5000 0.5000 0.1977 x2  12 Tb 3.55-3.60
Nd 0.5000 0.5000 0.3992 x2  12 Tb 3.55-3.59
Tl 0.5000 0.5000 0.0000 x1  12 Tb 3.50-3.55



# 7
DFT (PBE) results for Cr2SbBr after structural relaxation.

Summary:
The energy comes out at -6.0771 eV/atom. For the raw formation energy, the calculation gives 0.734 eV/f.u. The energy above the most stable polymorph in this dataset comes out at 0.1069 eV per atom. The value obtained for the calculated volume is 93.30 Å³/f.u. Its crystal system is monoclinic.

Unit cell a=3.7705 b=3.4602 c=7.1511 alpha=90.00 beta=90.06 gamma=90.00
Closest atoms and distances in Å follow each position.
Space group P2/m (No. 10)
Inequivalent atoms, fractional coordinates:
Cr 0.0011 0.0000 0.2018 x2  2 Br 2.75, 1 Cr 2.89, 4 Sb 2.94
Sb 0.5000 0.5000 0.0000 x1  8 Cr 2.94
Br 0.0000 0.5000 0.5000 x1  4 Cr 2.75



# 8
DFT (PBE) results for Sc3Si5 after structural relaxation.

Summary:
The energy comes out at -6.1877 eV/atom. For the raw formation energy, the calculation gives -3.392 eV/f.u. The energy above the most stable polymorph in this dataset comes out at 0.1916 eV per atom. The value obtained for the calculated volume is 144.18 Å³/f.u. Its crystal system is monoclinic.

Unit cell a=6.1428 b=12.6523 c=7.4335 alpha=90.00 beta=93.38 gamma=90.00
Closest atoms and distances in Å follow each position.
Space group C2/m (No. 12)
Inequivalent atoms, fractional coordinates:
Sc 0.0000 0.1453 0.0000 x4  8 Si 2.70-2.90
Sc 0.0000 0.2152 0.5000 x4  8 Si 2.68-2.83
Sc 0.2150 0.5000 0.3584 x4  7 Si 2.75-3.00
Si 0.1776 0.3005 0.2135 x8  2 Si 2.59-2.68, 5 Sc 2.68-2.83
Si 0.1788 0.5000 0.9536 x4  3 Si 2.34-2.42
Si 0.1957 0.3876 0.6918 x8  3 Si 2.42-2.68



# 9
DFT (PBE) results for Mg8Zn3Cd3 after structural relaxation.

Summary:
The energy comes out at -1.3363 eV/atom. The formation energy is 0.0440 eV per atom. The value obtained for the calculated volume is 301.43 Å³/f.u. Its crystal system is monoclinic.

Unit cell a=13.0019 b=11.1783 c=4.3989 alpha=90.00 beta=109.45 gamma=90.00
Closest atoms and distances in Å follow each position.
Space group C2/m (No. 12)
Inequivalent atoms, fractional coordinates:
Mg 0.1198 0.1324 0.1167 x8  5 Mg 2.94-2.98, 1 Zn 3.01, 4 Cd 3.03-3.25
Mg 0.1440 0.3106 0.6400 x8  3 Zn 2.76-2.90, 3 Mg 2.97-2.98
Zn 0.0000 0.3673 0.0000 x4  3 Zn 2.65-2.97, 4 Mg 2.89-2.90
Zn 0.0000 0.5000 0.5000 x2  4 Zn 2.65, 4 Mg 2.76
Cd 0.0000 0.0000 0.5000 x2  8 Mg 3.03, 2 Cd 3.32
Cd 0.2295 0.5000 0.2278 x4  2 Zn 3.18, 8 Mg 3.21-3.25, 1 Cd 3.32



> Among the records above, which one has the lowest energy?

Hf3SbW